# 1
{"formula": "AlSiMo", "functional": "PBE-GGA", "state": "optimized geometry", "lattice": [[-1.365, 1.365, 6.077], [1.365, -1.365, 6.077], [1.365, 1.365, -6.077]], "species": ["Al", "Si", "Mo"], "fractional_positions": [[0.000, 0.000, 0.000], [0.325, 0.325, 0.000], [0.668, 0.668, 0.000]], "dos_ef_per_ev_cell": 1.7, "spacegroup": "I4mm", "rho_g_cm3": 5.5, "formation_energy_uncorrected_ev_per_atom": 0.09, "final_energy_ev_per_cell": -19.717}

***

# 2
{"formula": "In3HgSe2", "functional": "PBE-GGA", "state": "optimized geometry", "lattice": [[3.003, -2.995, 0.000], [3.003, 2.995, 0.000], [-2.989, 0.000, 8.801]], "species": ["In", "In", "In", "Hg", "Se", "Se"], "fractional_positions": [[0.000, 0.000, 0.000], [0.334, 0.334, 0.669], [0.666, 0.666, 0.331], [0.500, 0.500, 0.000], [0.176, 0.176, 0.351], [0.824, 0.824, 0.649]], "dos_ef_per_ev_cell": 0.9, "spacegroup": "C2/m", "rho_g_cm3": 7.4, "formation_energy_uncorrected_ev_per_atom": -0.29, "final_energy_ev_per_cell": -17.236}

***

What is the formula in the second record? In3HgSe2